DFT (PBE) results for a relaxed CaAs2Rh crystal.

Values from the calculation:
energy: -5.2224 eV/atom
energy relative to the elements: -559 meV/atom

Structure (CIF):
```
data_CaAs2Rh
_chemical_formula_sum 'Ca4 As8 Rh4'
_symmetry_space_group_name_H-M 'I -4 2 d'
_symmetry_Int_Tables_number 122
_symmetry_space_group_name_Hall 'I -4 2bw'
_cell_length_a 7.442
_cell_length_b 7.442
_cell_length_c 6.144
_cell_angle_alpha 90.00
_cell_angle_beta 90.00
_cell_angle_gamma 90.00
loop_
_atom_site_label
_atom_site_type_symbol
_atom_site_fract_x
_atom_site_fract_y
_atom_site_fract_z
_atom_site_occupancy
Ca1 Ca 0.000 0.000 0.000 1
As1 As 0.183 0.250 0.625 1
Rh1 Rh 0.000 0.000 0.500 1
```